Entry 1:
DyFeCo2: relaxed, PBE.

Unit cell a=8.389 b=8.389 c=8.389 alpha=35.16 beta=35.16 gamma=35.16
Fractional coordinates of all 12 atoms:
Dy1 0.000 0.000 0.000
Dy2 0.141 0.141 0.141
Dy3 0.859 0.859 0.859
Fe1 0.333 0.333 0.333
Fe2 0.500 0.500 0.500
Fe3 0.667 0.667 0.667
Co1 0.081 0.582 0.582
Co2 0.418 0.418 0.919
Co3 0.418 0.919 0.418
Co4 0.582 0.081 0.582
Co5 0.582 0.582 0.081
Co6 0.919 0.418 0.418

Properties
The symmetry is R-3m, No. 166. The value obtained for the formation energy is -0.18 eV/atom.



Entry 2:
Cu2SnHgTeS3: relaxed, PBE.

Unit cell a=8.202 b=8.187 c=6.967 alpha=90.00 beta=125.12 gamma=90.00
Fractional coordinates of all 16 atoms:
Cu1 0.000 0.225 0.000
Cu2 0.000 0.775 0.000
Cu3 0.500 0.275 0.000
Cu4 0.500 0.725 0.000
Sn1 0.467 0.500 0.466
Sn2 0.967 0.000 0.466
Hg1 0.494 0.000 0.468
Hg2 0.994 0.500 0.468
Te1 0.379 0.000 0.775
Te2 0.879 0.500 0.775
S1 0.344 0.260 0.194
S2 0.344 0.740 0.194
S3 0.382 0.500 0.757
S4 0.844 0.240 0.194
S5 0.844 0.760 0.194
S6 0.882 0.000 0.757

Properties
The symmetry is Cm, No. 8. The value obtained for the uncorrected energy is -3.646 eV per atom.